Tb4Si3Ni | PBE | optimized geometry

a b c (Å): 4.2049 3.8946 10.6711
angles (deg): 90.00 90.00 90.00
Atoms (fractional coordinates):
Si (0.0000, 0.5000, 0.5739)
Tb (0.0000, 0.0000, 0.1365)
Tb (0.5000, 0.5000, 0.3551)
Tb (0.5000, 0.0000, 0.6429)
Ni (0.5000, 0.5000, 0.0686)
Tb (0.0000, 0.5000, 0.8617)
Si (0.5000, 0.0000, 0.9315)
Si (0.0000, 0.0000, 0.4298)

N(E_F) ... 7.1 states/eV/f.u.
Final energy ... -5.7829 eV/atom
Formation energy (no corrections) ... -0.711 eV/atom
Crystal system ... orthorhombic
Symmetry ... Pmm2